No. 1
Compound: DyTlAuS2
Source: Alexandria via LeMat-Bulk
Functional: PBE
Structure: relaxed

Summary:
formation energy (no corrections)	-868	meV/atom
final energy	-4.568	eV/atom
space group	P2/c (13)
V	135	Å³/f.u.

```
DyTlAuS2
1.0
6.7568 0.0000 0.0000
0.0000 5.5525 0.0000
-1.9071 0.0000 7.2112
Dy Tl Au S
2 2 2 4
Direct
0.0000 0.0037 0.2500
0.0000 0.9963 0.7500
0.5000 0.3113 0.2500
0.5000 0.6887 0.7500
0.0000 0.5000 0.0000
0.0000 0.5000 0.5000
0.2491 0.1829 0.5598
0.2491 0.8171 0.0598
0.7509 0.1829 0.9402
0.7509 0.8171 0.4402
```



No. 2
Compound: LiCrHg2
Source: Alexandria via LeMat-Bulk
Functional: PBE
Structure: relaxed

Summary:
final energy	-2.837	eV/atom
space group	R-3m (166)
V	81	Å³/f.u.
DFT formation energy	0.20	eV per atom

```
LiCrHg2
1.0
3.1980 0.0000 0.0000
-1.5990 2.7696 0.0000
0.0000 0.0000 27.2857
Li Cr Hg
3 3 6
Direct
0.0000 0.0000 0.0000
0.3333 0.6667 0.6667
0.6667 0.3333 0.3333
0.0000 0.0000 0.5000
0.3333 0.6667 0.1667
0.6667 0.3333 0.8333
0.0000 0.0000 0.2513
0.0000 0.0000 0.7487
0.3333 0.6667 0.4154
0.3333 0.6667 0.9180
0.6667 0.3333 0.0820
0.6667 0.3333 0.5846
```